No. 1
This record from the Alexandria database describes a geometry-optimized LaTcHO6 structure. The functional is PBE-GGA.

a = 5.1263 Å, b = 4.3819 Å, c = 5.1622 Å
α = 85.80°, β = 82.43°, γ = 63.76°
Positions (direct):
La: 0.9764 0.0774 0.0794
Tc: 0.3376 0.3290 0.5442
H: 0.7792 0.6363 0.4723
O: 0.9552 0.5676 0.3467
O: 0.3106 0.9462 0.6546
O: 0.6726 0.2436 0.6595
O: 0.0659 0.5554 0.8104
O: 0.4491 0.5624 0.2287
O: 0.4533 0.0822 0.2039

Output
Symmetry: No. 1
VASP energy, eV/atom: -7.043

***

No. 2
This record from the Alexandria database describes a geometry-optimized La2TeHO structure. The functional is PBE-GGA.

a = 4.0667 Å, b = 4.0667 Å, c = 7.1137 Å
α = 106.61°, β = 106.61°, γ = 90.00°
Positions (direct):
La: 0.6493 0.6493 0.2986
La: 0.3507 0.3507 0.7014
Te: 0.0000 0.0000 0.0000
H: 0.2500 0.7500 0.5000
O: 0.7500 0.2500 0.5000

Output
Symmetry: No. 119
VASP energy, eV/atom: -6.223

***

No. 3
This record from the Alexandria database describes a geometry-optimized LaTiHO2 structure. The functional is PBE-GGA.

a = 4.0298 Å, b = 4.0298 Å, c = 3.6658 Å
α = 90.00°, β = 90.00°, γ = 90.00°
Positions (direct):
H: 0.0000 0.0000 0.5000
Ti: 0.0000 0.0000 0.0000
O: 0.0000 0.5000 0.0000
O: 0.5000 0.0000 0.0000
La: 0.5000 0.5000 0.5000

Output
Symmetry: No. 123
VASP energy, eV/atom: -7.453

***

No. 4
This record from the Alexandria database describes a geometry-optimized LaTiH2O structure. The functional is PBE-GGA.

a = 3.7460 Å, b = 3.7460 Å, c = 4.1304 Å
α = 90.00°, β = 90.00°, γ = 90.00°
Positions (direct):
H: 0.0000 0.5000 0.0000
H: 0.5000 0.0000 0.0000
Ti: 0.0000 0.0000 0.0000
O: 0.0000 0.0000 0.5000
La: 0.5000 0.5000 0.5000

Output
Symmetry: No. 123
VASP energy, eV/atom: -6.215

***

No. 5
This record from the Alexandria database describes a geometry-optimized LaZnH2O structure. The functional is PBE-GGA.

a = 4.1642 Å, b = 4.1647 Å, c = 5.3468 Å
α = 66.77°, β = 66.76°, γ = 59.83°
Positions (direct):
La: 0.8553 0.0660 0.0949
Zn: 0.3587 0.5705 0.5868
H: 0.5890 0.7995 0.8965
H: 0.5303 0.7410 0.0713
O: 0.2154 0.4260 0.0165

Output
Offset from the most stable computed form, meV per atom: 131
Symmetry: No. 8
VASP energy, eV/atom: -4.524

***

No. 6
This record from the Alexandria database describes a geometry-optimized LaZnH2O structure. The functional is PBE-GGA.

a = 3.4753 Å, b = 3.7068 Å, c = 10.1083 Å
α = 90.00°, β = 90.00°, γ = 90.00°
Positions (direct):
La: 0.5000 0.0000 0.1322
La: 0.5000 0.5000 0.6322
Zn: 0.0000 0.0000 0.8520
Zn: 0.0000 0.5000 0.3520
H: 0.0000 0.0000 0.3264
H: 0.0000 0.5000 0.8264
H: 0.5000 0.0000 0.8859
H: 0.5000 0.5000 0.3859
O: 0.0000 0.0000 0.6364
O: 0.0000 0.5000 0.1364

Output
Offset from the most stable computed form, meV per atom: 82
Symmetry: No. 38
VASP energy, eV/atom: -4.574

***

No. 7
This record from the Alexandria database describes a geometry-optimized LaZnH2O structure. The functional is PBE-GGA.

a = 3.9469 Å, b = 3.9775 Å, c = 6.4878 Å
α = 99.48°, β = 90.01°, γ = 119.40°
Positions (direct):
La: 0.4171 0.6621 0.7229
Zn: 0.1469 0.1846 0.1386
H: 0.1319 0.6890 0.3654
H: 0.1065 0.8794 0.4113
O: 0.7463 0.3161 0.6959

Output
Offset from the most stable computed form, meV per atom: 178
Symmetry: No. 1
VASP energy, eV/atom: -4.477

***

No. 8
This record from the Alexandria database describes a geometry-optimized LaZnH2O structure. The functional is PBE-GGA.

a = 3.8393 Å, b = 3.8406 Å, c = 5.0301 Å
α = 73.67°, β = 73.70°, γ = 72.32°
Positions (direct):
La: 0.7667 0.2438 0.7259
Zn: 0.2540 0.7315 0.2447
H: 0.2518 0.2263 0.2763
H: 0.7485 0.7306 0.2774
O: 0.3760 0.8531 0.8097

Output
Offset from the most stable computed form, meV per atom: 52
Symmetry: No. 8
VASP energy, eV/atom: -4.603

***

No. 9
This record from the Alexandria database describes a geometry-optimized LaZnH2O structure. The functional is PBE-GGA.

a = 4.5235 Å, b = 3.7665 Å, c = 8.0584 Å
α = 90.00°, β = 90.00°, γ = 90.00°
Positions (direct):
La: 0.0000 0.0000 0.4784
La: 0.0000 0.5000 0.9784
Zn: 0.5000 0.0000 0.1597
Zn: 0.5000 0.5000 0.6597
H: 0.5000 0.0000 0.3652
H: 0.5000 0.5000 0.8652
H: 0.5000 0.0000 0.6196
H: 0.5000 0.5000 0.1196
O: 0.0000 0.0000 0.1641
O: 0.0000 0.5000 0.6641

Output
Offset from the most stable computed form, meV per atom: 80
Symmetry: No. 38
VASP energy, eV/atom: -4.575

***

No. 10
This record from the Alexandria database describes a geometry-optimized LaZnH2O structure. The functional is PBE-GGA.

a = 5.8814 Å, b = 3.8017 Å, c = 7.1331 Å
α = 90.00°, β = 94.06°, γ = 90.00°
Positions (direct):
La: 0.2650 0.0000 0.5951
La: 0.2650 0.5000 0.0951
Zn: 0.7952 0.0000 0.1920
Zn: 0.7952 0.5000 0.6920
H: 0.5207 0.0000 0.2534
H: 0.5207 0.5000 0.7534
H: 0.8379 0.0000 0.6450
H: 0.8379 0.5000 0.1450
O: 0.2472 0.0000 0.9178
O: 0.2472 0.5000 0.4178

Output
Offset from the most stable computed form, meV per atom: 45
Symmetry: No. 8
VASP energy, eV/atom: -4.610

***

No. 11
This record from the Alexandria database describes a geometry-optimized LaZnH2O structure. The functional is PBE-GGA.

a = 5.9978 Å, b = 3.9793 Å, c = 6.8644 Å
α = 90.00°, β = 90.00°, γ = 90.00°
Positions (direct):
La: 0.0000 0.0000 0.0987
La: 0.0000 0.5000 0.5987
Zn: 0.5000 0.0000 0.4278
Zn: 0.5000 0.5000 0.9278
H: 0.2400 0.0000 0.4313
H: 0.7600 0.0000 0.4313
H: 0.2400 0.5000 0.9313
H: 0.7600 0.5000 0.9313
O: 0.0000 0.0000 0.7647
O: 0.0000 0.5000 0.2647

Output
Offset from the most stable computed form, meV per atom: 73
Symmetry: No. 38
VASP energy, eV/atom: -4.582

***

No. 12
This record from the Alexandria database describes a geometry-optimized LaZnH2O structure. The functional is PBE-GGA.

a = 5.6566 Å, b = 3.8241 Å, c = 6.8966 Å
α = 90.00°, β = 107.86°, γ = 90.00°
Positions (direct):
La: 0.6544 0.0000 0.8626
La: 0.6544 0.5000 0.3626
Zn: 0.1860 0.0000 0.2731
Zn: 0.1860 0.5000 0.7731
H: 0.4663 0.0000 0.4904
H: 0.4663 0.5000 0.9904
H: 0.2070 0.0000 0.7335
H: 0.2070 0.5000 0.2335
O: 0.8203 0.0000 0.2429
O: 0.8203 0.5000 0.7429

Output
Offset from the most stable computed form, meV per atom: 0
Symmetry: No. 8
VASP energy, eV/atom: -4.655